Entry 1:
This record from Alexandria describes Cr2TePt after structural relaxation. The functional is PBE.

Cell: 2.9471 2.9471 24.7390 Å, 90.00 90.00 120.00°
Space group R-3m (No. 166, hexagonal axes)
Unique sites:
Cr (0.0000, 0.0000, 0.2494) [6 per cell]
Te (0.0000, 0.0000, 0.5000) [3 per cell]
Pt (0.0000, 0.0000, 0.0000) [3 per cell]

Calculated values
Total energy ... -6.56 eV per atom
ΔE_f (raw) ... 549 meV/atom
Magnetic moment ... 0.0 μB per formula unit

***

Entry 2:
This record from Alexandria describes HoBIr after structural relaxation. The functional is PBE.

Cell: 6.893 10.298 10.710 Å, 90.00 90.00 90.00°
Space group Fddd (No. 70, origin choice 2)
Unique sites:
Ho (0.000, 0.000, 0.000) [16 per cell]
B (0.125, 0.287, 0.625) [16 per cell]
Ir (0.125, 0.125, 0.492) [16 per cell]

Calculated values
Calculated formation energy ... -0.4027 eV per atom
Total energy ... -7.11 eV per atom
Magnetic moment ... 0.0 μB per formula unit

***

Entry 3:
This record from Alexandria describes Pm3Si4Pt after structural relaxation. The functional is PBE.

Cell: 4.463 5.705 14.660 Å, 90.00 90.00 90.00°
Space group Immm (No. 71)
Unique sites:
Pm (0.000, 0.000, 0.000) [2 per cell]
Pm (0.000, 0.500, 0.191) [4 per cell]
Si (0.000, 0.293, 0.380) [8 per cell]
Pt (0.000, 0.000, 0.500) [2 per cell]

Calculated values
Total energy ... -5.97 eV per atom
ΔE_f (raw) ... -724 meV/atom
Magnetic moment ... 0.0 μB per formula unit

***

Entry 4:
This record from Alexandria describes CrMo2As after structural relaxation. The functional is PBE.

Cell: 3.206 4.199 8.589 Å, 90.00 90.00 90.00°
Space group Immm (No. 71)
Unique sites:
Cr (0.000, 0.000, 0.000) [2 per cell]
Mo (0.000, 0.500, 0.253) [4 per cell]
As (0.000, 0.000, 0.500) [2 per cell]

Calculated values
Calculated formation energy ... 0.0786 eV per atom
Total energy ... -8.91 eV per atom
Magnetic moment ... 0.5 μB per formula unit